Material: CeErSi
Method: DFT, PBE-GGA
State: relaxed

- DFT total energy (eV for the cell shown) = -35.36
- energy above the lowest structure with this stoichiometry (meV/atom) = 0
- DOS(E_F) (states/eV per cell) = 8.59
- theoretical density (g cm⁻³) = 7.8
- symmetry = I4/mmm
- formation energy (no corrections) (eV/atom) = -0.5860

a = 4.1398 Å, b = 4.1398 Å, c = 8.7904 Å
α = 103.62°, β = 103.62°, γ = 90.00°
Fractional coordinates of all 6 atoms:
Ce 0.0000 0.5000 0.0000
Ce 0.5000 0.0000 0.0000
Er 0.1806 0.1806 0.3611
Er 0.8194 0.8194 0.6389
Si 0.3596 0.3596 0.7192
Si 0.6404 0.6404 0.2808

Material: CeErSi
Method: DFT, PBE-GGA
State: relaxed

- DFT total energy (eV for the cell shown) = -33.27
- energy above the lowest structure with this stoichiometry (meV/atom) = 347
- DOS(E_F) (states/eV per cell) = 11.41
- theoretical density (g cm⁻³) = 6.9
- symmetry = R-3m
- formation energy (no corrections) (eV/atom) = -0.2390

a = 4.1531 Å, b = 4.1567 Å, c = 14.4922 Å
α = 125.00°, β = 90.00°, γ = 119.97°
Fractional coordinates of all 6 atoms:
Si 0.8688 0.7376 0.7764
Si 0.1312 0.2624 0.2236
Ce 0.7319 0.4639 0.9237
Ce 0.2681 0.5361 0.0763
Er 0.9866 0.9732 0.3651
Er 0.0134 0.0268 0.6349

Material: Ce3ErSi4
Method: DFT, PBE-GGA
State: relaxed

- DFT total energy (eV for the cell shown) = -48.18
- DOS(E_F) (states/eV per cell) = 12.61
- theoretical density (g cm⁻³) = 5.8
- symmetry = Immm
- formation energy (no corrections) (eV/atom) = -0.5149

a = 4.0536 Å, b = 6.3131 Å, c = 8.6933 Å
α = 111.29°, β = 103.48°, γ = 90.00°
Fractional coordinates of all 8 atoms:
Ce 0.0000 0.5000 0.0000
Ce 0.1947 0.1945 0.3893
Ce 0.8053 0.8055 0.6107
Er 0.5000 0.0000 0.0000
Si 0.3702 0.5577 0.7405
Si 0.6298 0.4423 0.2595
Si 0.6297 0.8169 0.2594
Si 0.3703 0.1831 0.7406

Material: Ce2ErZn2Si2
Method: DFT, PBE-GGA
State: relaxed

- DFT total energy (eV for the cell shown) = -32.63
- DOS(E_F) (states/eV per cell) = 10.54
- theoretical density (g cm⁻³) = 7.5
- symmetry = R-3m
- formation energy (no corrections) (eV/atom) = -0.4011

a = 4.2181 Å, b = 4.2181 Å, c = 9.4003 Å
α = 77.03°, β = 77.03°, γ = 60.00°
Fractional coordinates of all 7 atoms:
Ce 0.1403 0.1403 0.5791
Ce 0.8597 0.8597 0.4209
Er 0.0000 0.0000 0.0000
Zn 0.5990 0.5990 0.2029
Zn 0.4010 0.4010 0.7971
Si 0.7352 0.7352 0.7945
Si 0.2648 0.2648 0.2055

- What is the DOS(E_F) in the first record?
  8.59 states/eV per cell

- Which formula does entry 4 have?
  Ce2ErZn2Si2

- Which of these has the lowest theoretical density?
  Ce3ErSi4